Li2TcSb: PBEsol geometry, meta-GGA SCAN.

Cell: 4.404 4.404 4.404 Å, 60.00 60.00 60.00°
Sites, in units of the cell vectors:
Sb1 0.500 0.500 0.500
Tc1 0.250 0.250 0.250
Li1 0.750 0.750 0.750
Li2 0.000 0.000 0.000

**E_form (uncorrected)**: -0.4 eV/f.u.
**Final energy**: -77.549 eV per formula unit
**Symmetry**: No. 216
**Fermi-level density of states**: 1.90 states/eV per cell